BeHg3Os: relaxed, PBE.

Cell: 4.6506 4.6506 4.6506 Å, 90.00 90.00 90.00°
Each line ends with the local moment (μB).
Fractional positions:
Be (0.0000, 0.0000, 0.0000)  0.04
Os (0.5000, 0.5000, 0.5000)  2.29
Hg (0.0000, 0.5000, 0.0000)  0.02
Hg (0.0000, 0.0000, 0.5000)  0.04
Hg (0.5000, 0.0000, 0.0000)  0.02

## Properties
energy above the most stable polymorph in this dataset	0.000	eV/atom
mass density	13.22	g cm⁻³
total magnetization	2.6	μB per cell
total energy	-0.0707	Ha/atom
symmetry	No. 221
N(E_F)	0.74	states/eV per atom
DFT formation energy	1.25	eV/atom